i) 5
Lattice="-3.791 -3.778 -3.804 5.052 -4.078 -0.984 -1.944 -3.780 5.691" Properties=species:S:1:pos:R:3 comment="KRbSr2Tl | Alexandria | PBE-GGA | relaxed" volume_a3_per_atom=61.260 space_group="P4/mmm, No. 123" pbc="T T T"
Sr 2.526 -2.039 -0.492
Sr -1.896 -1.889 -1.902
Tl 0.000 0.000 0.000
K -0.972 -1.890 2.846
Rb -0.341 -5.818 0.451

=====

ii) 5
Lattice="-5.767 2.969 1.009 -1.094 0.075 -6.472 -3.258 -6.488 0.476" Properties=species:S:1:pos:R:3 comment="KRbSr2Tl | Alexandria | PBE-GGA | relaxed" volume_a3_per_atom=62.705 space_group="P4/mmm, No. 123" pbc="T T T"
Sr -0.547 0.037 -3.236
Sr -2.883 1.485 0.505
Tl 0.000 0.000 0.000
K -5.059 -1.722 -2.493
Rb -1.629 -3.244 0.238

=====

Which of them is the least stable? Correct choice: ii).

=====

i) 5
Lattice="6.927 0.000 0.000 0.000 6.927 0.000 0.000 0.000 6.927" Properties=species:S:1:pos:R:3 comment="K3RbTa | Alexandria | PBE-GGA | relaxed" volume_a3_per_atom=66.472 space_group="Pm-3m, No. 221" pbc="T T T"
K 0.000 3.463 0.000
K 0.000 0.000 3.463
K 3.463 0.000 0.000
Rb 3.463 3.463 3.463
Ta 0.000 0.000 0.000

=====

ii) 5
Lattice="-3.481 -5.526 -2.225 5.597 -2.152 -3.413 2.040 -3.527 5.568" Properties=species:S:1:pos:R:3 comment="K3RbTa | Alexandria | PBE-GGA | relaxed" volume_a3_per_atom=65.699 space_group="Pm-3m, No. 221" pbc="T T T"
K 2.799 -1.076 -1.707
K 1.020 -1.764 2.784
K -1.741 -2.763 -1.113
Rb 0.000 0.000 0.000
Ta 2.078 -5.602 -0.035

=====

Which of them is the least stable? Correct choice: ii).

=====

i) 5
Lattice="5.484 0.000 0.000 0.000 5.484 0.000 2.742 2.742 7.567" Properties=species:S:1:pos:R:3 comment="K2RbTa2 | Alexandria | PBE-GGA | relaxed" volume_a3_per_atom=45.516 space_group="I4/mmm, No. 139" pbc="T T T"
K 5.484 2.742 3.783
K 2.742 5.484 3.783
Rb 0.000 0.000 0.000
Ta 2.742 2.742 1.104
Ta 5.484 5.484 6.462

=====

ii) 10
Lattice="-4.742 -2.329 9.583 -3.768 -9.398 -4.149 2.686 -1.502 0.964" Properties=species:S:1:pos:R:3 comment="K2RbTa2 | Alexandria | PBE-GGA | relaxed" volume_a3_per_atom=38.609 space_group="P4/mbm, No. 127" pbc="T T T"
K -2.289 -7.859 -0.476
K -4.996 -9.862 3.945
K -3.535 -5.371 6.874
K -0.828 -3.367 2.453
Rb 0.000 0.000 0.000
Rb -4.255 -5.864 2.717
Ta -5.498 -9.680 0.234
Ta -6.552 -7.560 6.475
Ta -3.011 -2.047 5.200
Ta -1.957 -4.167 -1.041

=====

Which of them is the least stable? Correct choice: i).

=====

i) 5
Lattice="6.765 0.000 0.000 0.000 6.765 0.000 0.000 0.000 6.765" Properties=species:S:1:pos:R:3 comment="K3RbTc | Alexandria | PBE-GGA | relaxed" volume_a3_per_atom=61.921 space_group="Pm-3m, No. 221" pbc="T T T"
K 0.000 3.383 0.000
K 0.000 0.000 3.383
K 3.383 0.000 0.000
Tc 0.000 0.000 0.000
Rb 3.383 3.383 3.383

=====

ii) 5
Lattice="-4.224 -5.532 -2.254 -1.619 -1.597 6.954 -5.750 4.514 -0.302" Properties=species:S:1:pos:R:3 comment="K3RbTc | Alexandria | PBE-GGA | relaxed" volume_a3_per_atom=78.321 space_group="Pm-3m, No. 221" pbc="T T T"
K -0.809 -0.799 3.477
K -2.875 2.257 -0.151
K -2.112 -2.766 -1.127
Tc -5.796 -1.308 2.199
Rb 0.000 0.000 0.000

=====

Which of them is the least stable? Correct choice: ii).

=====

i) 8
Lattice="5.503 0.000 0.000 0.000 5.503 0.000 2.752 2.752 13.449" Properties=species:S:1:pos:R:3 comment="K2RbTc | Alexandria | PBE-GGA | relaxed" volume_a3_per_atom=50.911 space_group="I-42d, No. 122" pbc="T T T"
K 4.280 1.376 3.362
K 1.223 4.127 3.362
K 4.127 3.974 10.087
K 6.879 7.032 10.087
Tc 0.000 0.000 0.000
Tc 5.503 2.752 6.725
Rb 2.752 2.752 0.000
Rb 2.752 5.503 6.725

=====

ii) 4
Lattice="5.216 -3.701 -0.357 2.448 -2.605 5.315 -0.477 -6.311 0.986" Properties=species:S:1:pos:R:3 comment="K2RbTc | Alexandria | PBE-GGA | relaxed" volume_a3_per_atom=46.459 space_group="Fm-3m, No. 225" pbc="T T T"
K 1.797 -3.154 1.486
K 5.390 -9.463 4.458
Tc 3.594 -6.309 2.972
Rb 0.000 0.000 0.000

=====

Which of them is the least stable? Correct choice: i).

=====

i) 5
Lattice="-5.707 2.750 3.064 -1.827 -6.385 2.327 3.690 1.092 5.892" Properties=species:S:1:pos:R:3 comment="KRb3Tc | Alexandria | PBE-GGA | relaxed" volume_a3_per_atom=69.703 space_group="Pm-3m, No. 221" pbc="T T T"
K -1.922 -1.272 5.642
Tc 0.000 0.000 0.000
Rb -0.913 -3.193 1.164
Rb 1.845 0.546 2.946
Rb -2.854 1.375 1.532

=====

ii) 5
Lattice="-5.080 -5.499 1.116 5.218 -4.075 3.668 -2.064 3.231 6.526" Properties=species:S:1:pos:R:3 comment="KRb3Tc | Alexandria | PBE-GGA | relaxed" volume_a3_per_atom=86.731 space_group="Pm-3m, No. 221" pbc="T T T"
K 0.000 0.000 0.000
Tc -0.963 -3.172 5.655
Rb 2.609 -2.038 1.834
Rb -1.032 1.616 3.263
Rb -2.540 -2.750 0.558

=====

Which of them is the least stable? Correct choice: ii).

=====

i) 4
Lattice="0.000 4.276 4.276 4.276 0.000 4.276 4.276 4.276 0.000" Properties=species:S:1:pos:R:3 comment="KRbTe2 | Alexandria | PBE-GGA | relaxed" volume_a3_per_atom=39.085 space_group="Fm-3m, No. 225" pbc="T T T"
K 0.000 0.000 0.000
Te 2.138 2.138 2.138
Te 6.414 6.414 6.414
Rb 4.276 4.276 4.276

=====

ii) 16
Lattice="5.949 0.000 0.000 0.000 11.997 0.000 0.000 0.000 10.441" Properties=species:S:1:pos:R:3 comment="KRbTe2 | Alexandria | PBE-GGA | relaxed" volume_a3_per_atom=46.573 space_group="Pnma, No. 62" pbc="T T T"
K 4.462 3.897 10.323
K 1.487 8.099 0.118
K 4.462 9.895 5.338
K 1.487 2.101 5.102
Rb 4.462 5.903 3.641
Rb 1.487 6.094 6.799
Rb 4.462 11.901 1.579
Rb 1.487 0.096 8.862
Te 1.487 10.892 3.268
Te 4.462 1.105 7.173
Te 1.487 4.893 1.953
Te 4.462 7.103 8.488
Te 1.487 2.063 1.524
Te 4.462 9.933 8.917
Te 1.487 8.062 3.697
Te 4.462 3.935 6.744

=====

Which of them is the least stable? Correct choice: i).

=====

i) 4
Lattice="-0.949 -3.107 -3.988 1.406 -4.194 2.933 -5.023 -0.549 1.623" Properties=species:S:1:pos:R:3 comment="KRbTe2 | Alexandria | PBE-GGA | relaxed" volume_a3_per_atom=36.214 space_group="P4/mmm, No. 123" pbc="T T T"
K -2.283 -3.925 0.284
Te -2.511 -0.274 0.812
Te 0.703 -2.097 1.466
Rb -0.475 -1.553 -1.994

=====

ii) 4
Lattice="2.600 11.973 1.225 6.060 10.707 -0.504 2.849 11.642 -2.824" Properties=species:S:1:pos:R:3 comment="KRbTe2 | Alexandria | PBE-GGA | relaxed" volume_a3_per_atom=43.348 space_group="R-3m, No. 166" pbc="T T T"
K 0.000 0.000 0.000
Te 10.484 31.265 -1.915
Te 1.025 3.057 -0.187
Rb 5.755 17.161 -1.051

=====

iii) 8
Lattice="-5.765 -2.387 -7.572 -2.383 -8.406 4.464 -6.585 -3.917 -0.109" Properties=species:S:1:pos:R:3 comment="KRbTe2 | Alexandria | PBE-GGA | relaxed" volume_a3_per_atom=39.146 space_group="I-42d, No. 122" pbc="T T T"
K -4.074 -5.396 -1.554
K -6.521 -8.859 1.401
Te -5.456 -3.484 -4.082
Te -3.947 -6.569 1.697
Te -8.032 -7.117 -1.177
Te -12.031 -12.249 -2.871
Rb 0.000 0.000 0.000
Rb -8.212 -5.850 -4.617

=====

Which of them is the least stable? Correct choice: ii).